No. 1
The following is a DFT calculation (PBE-GGA) of an optimized crystal structure of AcTb3H.

```
AcTb3H
1.0
-2.595 0.160 -4.430
1.442 -4.824 -1.019
-4.192 -1.758 2.392
H Ac Tb
1 1 3
Cartesian
0.000 0.000 0.000
-2.673 -3.211 -1.529
0.721 -2.412 -0.509
-2.096 -0.879 1.196
-1.297 0.080 -2.215
```

- uncorrected energy (eV/f.u.) = -22.0
- symmetry = Pm-3m
- ρ (g/cm³) = 8.634

No. 2
The following is a DFT calculation (PBE-GGA) of an optimized crystal structure of AcTcH5.

```
AcTcH5
1.0
4.643 0.000 2.074
1.910 3.819 1.959
0.721 -0.450 4.620
Ac Tc H
1 1 5
Cartesian
6.777 3.369 8.430
3.267 1.684 4.161
4.866 1.146 4.011
1.670 1.684 3.448
4.222 2.223 5.452
2.663 0.262 4.955
3.455 3.107 3.181
```

- uncorrected energy (eV/f.u.) = -31.9
- symmetry = Imm2
- ρ (g/cm³) = 6.980

No. 3
The following is a DFT calculation (PBE-GGA) of an optimized crystal structure of Ac2TcH6.

```
Ac2TcH6
1.0
5.488 0.000 0.000
2.744 4.753 0.000
2.744 1.584 4.481
Ac Tc H
2 1 6
Cartesian
2.744 1.584 1.120
8.232 4.753 3.361
0.000 0.000 0.000
5.488 4.862 3.438
4.021 4.015 1.043
6.955 2.322 3.438
5.488 1.475 1.043
6.955 4.015 1.043
4.021 2.322 3.438
```

- uncorrected energy (eV/f.u.) = -43.0
- symmetry = Fm-3m
- ρ (g/cm³) = 7.928

- The lowest ρ belongs to which entry?
  AcTcH5

- Which of these has the lowest ρ?
  AcTcH5

Copy entry 3 word for word.
The following is a DFT calculation (PBE-GGA) of an optimized crystal structure of Ac2TcH6.

```
Ac2TcH6
1.0
5.488 0.000 0.000
2.744 4.753 0.000
2.744 1.584 4.481
Ac Tc H
2 1 6
Cartesian
2.744 1.584 1.120
8.232 4.753 3.361
0.000 0.000 0.000
5.488 4.862 3.438
4.021 4.015 1.043
6.955 2.322 3.438
5.488 1.475 1.043
6.955 4.015 1.043
4.021 2.322 3.438
```

- uncorrected energy (eV/f.u.) = -43.0
- symmetry = Fm-3m
- ρ (g/cm³) = 7.928

- Which value of uncorrected energy does entry 2 give?
  -31.9 eV/f.u.